Density functional theory data (GGA-PBE) for a geometry-optimized TcSe2I structure.

Computed properties:
Size of the total moment (μB per formula unit): 0.0
E above lowest polymorph (eV/atom): 0.226
Raw formation energy (eV/atom): 0.017

Cell lengths 16.9706, 4.5186, 7.8210 Å; angles 90.00, 134.80, 90.00 degrees
Sites, in units of the cell vectors:
Tc 0.4223 0.8572 0.5059
Tc 0.9223 0.6428 0.0059
Tc 0.0777 0.3572 0.9941
Tc 0.5777 0.1428 0.4941
I 0.2472 0.1149 0.0582
I 0.7528 0.8851 0.9418
I 0.2528 0.6149 0.4418
I 0.7472 0.3851 0.5582
Se 0.4676 0.1830 0.0498
Se 0.0324 0.6830 0.4502
Se 0.0217 0.1657 0.1870
Se 0.9676 0.3170 0.5498
Se 0.9783 0.8343 0.8130
Se 0.4783 0.6657 0.3130
Se 0.5217 0.3343 0.6870
Se 0.5324 0.8170 0.9502